1.
This record from Alexandria via LeMat-Bulk describes an optimized crystal structure of K3Ag4Pt. The functional is GGA-PBE.

a = 5.976 Å, b = 12.818 Å, c = 6.492 Å
α = 90.00°, β = 90.00°, γ = 90.00°
Fractional coordinates of all 16 atoms:
K: 0.250 0.006 0.197
K: 0.250 0.494 0.197
K: 0.250 0.750 0.549
K: 0.750 0.250 0.451
K: 0.750 0.506 0.803
K: 0.750 0.994 0.803
Ag: 0.011 0.750 0.034
Ag: 0.250 0.138 0.672
Ag: 0.250 0.362 0.672
Ag: 0.489 0.750 0.034
Ag: 0.511 0.250 0.966
Ag: 0.750 0.638 0.328
Ag: 0.750 0.862 0.328
Ag: 0.989 0.250 0.966
Pt: 0.250 0.250 0.312
Pt: 0.750 0.750 0.688

Summary:
Its magnetic moment is 0.0000 μB/atom. The formation energy comes out at 0.067 eV/atom. As for the symmetry: Pmmn. As for the uncorrected energy: -2.53 eV per atom.

=====

2.
This record from Alexandria via LeMat-Bulk describes an optimized crystal structure of Y2CuGe. The functional is GGA-PBE.

a = 4.924 Å, b = 4.924 Å, c = 3.628 Å
α = 90.00°, β = 90.00°, γ = 90.00°
Fractional coordinates of all 4 atoms:
Y: 0.000 0.500 0.000
Y: 0.500 0.000 0.000
Cu: 0.000 0.000 0.500
Ge: 0.500 0.500 0.500

Summary:
Its magnetic moment is 0.0005 μB/atom. The formation energy comes out at -0.493 eV/atom. As for the symmetry: P4/mmm. As for the uncorrected energy: -5.90 eV per atom.

=====

3.
This record from Alexandria via LeMat-Bulk describes an optimized crystal structure of AlNiOs. The functional is GGA-PBE.

a = 4.139 Å, b = 4.139 Å, c = 2.643 Å
α = 90.00°, β = 90.00°, γ = 120.00°
Fractional coordinates of all 3 atoms:
Al: 0.000 0.000 0.000
Ni: 0.667 0.333 0.004
Os: 0.333 0.667 0.502

Summary:
Its magnetic moment is 0.2213 μB/atom. The formation energy comes out at -0.116 eV/atom. The energy above the most stable polymorph in this dataset comes out at 45 meV/atom. As for the symmetry: P3m1. As for the uncorrected energy: -7.03 eV per atom.

=====

4.
This record from Alexandria via LeMat-Bulk describes an optimized crystal structure of Nd3ScGa2. The functional is GGA-PBE.

a = 8.630 Å, b = 8.630 Å, c = 8.630 Å
α = 149.78°, β = 149.12°, γ = 43.75°
Fractional coordinates of all 6 atoms:
Nd: 0.000 0.000 0.000
Nd: 0.179 0.679 0.500
Nd: 0.821 0.321 0.500
Sc: 0.500 0.500 0.000
Ga: 0.370 0.870 0.500
Ga: 0.630 0.130 0.500

Summary:
Its magnetic moment is 0.0000 μB/atom. The formation energy comes out at -0.369 eV/atom. The energy above the most stable polymorph in this dataset comes out at 4 meV/atom. As for the symmetry: Immm. As for the uncorrected energy: -4.82 eV per atom.

=====

5.
This record from Alexandria via LeMat-Bulk describes an optimized crystal structure of BaYBe2Ag. The functional is GGA-PBE.

a = 5.188 Å, b = 5.188 Å, c = 6.402 Å
α = 90.00°, β = 90.00°, γ = 90.00°
Fractional coordinates of all 5 atoms:
Ba: 0.000 0.000 0.000
Y: 0.000 0.000 0.500
Be: 0.000 0.500 0.500
Be: 0.500 0.000 0.500
Ag: 0.500 0.500 0.000

Summary:
Its magnetic moment is 0.0969 μB/atom. The formation energy comes out at 1.415 eV/atom. As for the symmetry: P4/mmm. As for the uncorrected energy: -2.32 eV per atom.

=====

6.
This record from Alexandria via LeMat-Bulk describes an optimized crystal structure of Cs12H3Au5. The functional is GGA-PBE.

a = 14.703 Å, b = 14.703 Å, c = 5.023 Å
α = 90.00°, β = 90.00°, γ = 120.00°
Fractional coordinates of all 20 atoms:
Cs: 0.000 0.538 0.000
Cs: 0.000 0.819 0.000
Cs: 0.181 0.181 0.000
Cs: 0.201 0.445 0.500
Cs: 0.244 0.799 0.500
Cs: 0.445 0.201 0.500
Cs: 0.462 0.462 0.000
Cs: 0.538 0.000 0.000
Cs: 0.555 0.756 0.500
Cs: 0.756 0.555 0.500
Cs: 0.799 0.244 0.500
Cs: 0.819 0.000 0.000
H: 0.000 0.666 0.500
H: 0.334 0.334 0.500
H: 0.666 0.000 0.500
Au: 0.000 0.293 0.000
Au: 0.293 0.000 0.000
Au: 0.333 0.667 0.000
Au: 0.667 0.333 0.000
Au: 0.707 0.707 0.000

Summary:
Its magnetic moment is 0.0000 μB/atom. The energy above the most stable polymorph in this dataset comes out at 0 meV/atom. As for the symmetry: P-62m. As for the uncorrected energy: -2.02 eV per atom.

=====

7.
This record from Alexandria via LeMat-Bulk describes an optimized crystal structure of Pr2YHo6. The functional is GGA-PBE.

a = 10.292 Å, b = 10.292 Å, c = 6.227 Å
α = 92.59°, β = 92.59°, γ = 117.60°
Fractional coordinates of all 18 atoms:
Pr: 0.148 0.352 0.000
Pr: 0.352 0.148 0.500
Pr: 0.648 0.852 0.500
Pr: 0.852 0.648 0.000
Y: 0.250 0.750 0.250
Y: 0.750 0.250 0.750
Ho: 0.012 0.166 0.498
Ho: 0.096 0.596 0.718
Ho: 0.166 0.012 0.998
Ho: 0.334 0.488 0.502
Ho: 0.404 0.904 0.782
Ho: 0.488 0.334 0.002
Ho: 0.512 0.666 0.998
Ho: 0.596 0.096 0.218
Ho: 0.666 0.512 0.498
Ho: 0.834 0.988 0.002
Ho: 0.904 0.404 0.282
Ho: 0.988 0.834 0.502

Summary:
Its magnetic moment is 0.0000 μB/atom. The formation energy comes out at 0.107 eV/atom. The energy above the most stable polymorph in this dataset comes out at 0 meV/atom. As for the symmetry: C2/c. As for the uncorrected energy: -4.73 eV per atom.

=====

8.
This record from Alexandria via LeMat-Bulk describes an optimized crystal structure of AlTl2Pb2. The functional is GGA-PBE.

a = 8.860 Å, b = 8.860 Å, c = 3.919 Å
α = 90.00°, β = 90.00°, γ = 90.00°
Fractional coordinates of all 10 atoms:
Al: 0.000 0.000 0.000
Al: 0.500 0.500 0.000
Tl: 0.150 0.350 0.000
Tl: 0.350 0.850 0.000
Tl: 0.650 0.150 0.000
Tl: 0.850 0.650 0.000
Pb: 0.150 0.650 0.500
Pb: 0.350 0.150 0.500
Pb: 0.650 0.850 0.500
Pb: 0.850 0.350 0.500

Summary:
Its magnetic moment is 0.0000 μB/atom. The formation energy comes out at 0.315 eV/atom. The energy above the most stable polymorph in this dataset comes out at 126 meV/atom. As for the symmetry: P4/mbm. As for the uncorrected energy: -2.86 eV per atom.

=====

9.
This record from Alexandria via LeMat-Bulk describes an optimized crystal structure of K2BeSe. The functional is GGA-PBE.

a = 5.174 Å, b = 5.174 Å, c = 4.439 Å
α = 90.00°, β = 90.00°, γ = 90.40°
Fractional coordinates of all 4 atoms:
K: 0.000 0.500 0.000
K: 0.500 0.000 0.000
Be: 0.000 0.000 0.500
Se: 0.500 0.500 0.500

Summary:
Its magnetic moment is 0.0001 μB/atom. The value obtained for the uncorrected formation energy is 5.9 kJ per mole of atoms. The energy above the most stable polymorph in this dataset comes out at 373 meV/atom. As for the symmetry: Cmmm. As for the uncorrected energy: -2.29 eV per atom.

=====

10.
This record from Alexandria via LeMat-Bulk describes an optimized crystal structure of SrTaBi3. The functional is GGA-PBE.

a = 5.589 Å, b = 5.589 Å, c = 5.589 Å
α = 90.00°, β = 90.00°, γ = 90.00°
Fractional coordinates of all 5 atoms:
Sr: 0.000 0.000 0.000
Ta: 0.500 0.500 0.500
Bi: 0.000 0.500 0.500
Bi: 0.500 0.000 0.500
Bi: 0.500 0.500 0.000

Summary:
Its magnetic moment is 0.0000 μB/atom. The formation energy comes out at 0.097 eV/atom. The energy above the most stable polymorph in this dataset comes out at 0 meV/atom. As for the symmetry: Pm-3m. As for the uncorrected energy: -4.94 eV per atom.

=====

11.
This record from Alexandria via LeMat-Bulk describes an optimized crystal structure of RbNa6Tl4. The functional is GGA-PBE.

a = 8.418 Å, b = 8.418 Å, c = 8.418 Å
α = 121.81°, β = 121.81°, γ = 86.89°
Fractional coordinates of all 11 atoms:
Rb: 0.000 0.000 0.000
Na: 0.000 0.500 0.500
Na: 0.098 0.492 0.000
Na: 0.492 0.098 0.000
Na: 0.500 0.000 0.500
Na: 0.508 0.508 0.606
Na: 0.902 0.902 0.394
Tl: 0.266 0.266 0.690
Tl: 0.424 0.734 0.000
Tl: 0.576 0.576 0.310
Tl: 0.734 0.424 0.000

Summary:
Its magnetic moment is 0.0000 μB/atom. The formation energy comes out at -0.081 eV/atom. As for the symmetry: I-42m. As for the uncorrected energy: -1.75 eV per atom.

=====

12.
This record from Alexandria via LeMat-Bulk describes an optimized crystal structure of TbAgHgPb. The functional is GGA-PBE.

a = 5.169 Å, b = 5.169 Å, c = 5.169 Å
α = 60.00°, β = 60.00°, γ = 60.00°
Fractional coordinates of all 4 atoms:
Tb: 0.000 0.000 0.000
Ag: 0.500 0.500 0.500
Hg: 0.250 0.250 0.250
Pb: 0.750 0.750 0.750

Summary:
Its magnetic moment is 0.0000 μB/atom. The formation energy comes out at -0.269 eV/atom. As for the symmetry: F-43m. As for the uncorrected energy: -3.14 eV per atom.

=====

Copy entry 10 word for word.
This record from Alexandria via LeMat-Bulk describes an optimized crystal structure of SrTaBi3. The functional is GGA-PBE.

a = 5.589 Å, b = 5.589 Å, c = 5.589 Å
α = 90.00°, β = 90.00°, γ = 90.00°
Fractional coordinates of all 5 atoms:
Sr: 0.000 0.000 0.000
Ta: 0.500 0.500 0.500
Bi: 0.000 0.500 0.500
Bi: 0.500 0.000 0.500
Bi: 0.500 0.500 0.000

Summary:
Its magnetic moment is 0.0000 μB/atom. The formation energy comes out at 0.097 eV/atom. The energy above the most stable polymorph in this dataset comes out at 0 meV/atom. As for the symmetry: Pm-3m. As for the uncorrected energy: -4.94 eV per atom.